Entry 1:
## PuVReRu (GGA-PBE)

Data for PuVReRu after structural relaxation.

Cell lengths 6.397, 6.397, 6.397 Å; angles 90.00, 90.00, 90.00 degrees
Space group F-43m (No. 216)
One atom of each set of equivalent atoms:
Pu  0.000  0.000  0.000
V  0.000  0.000  0.500
Re  0.250  0.250  0.250
Ru  0.250  0.250  0.750

Energy of formation = 6.73 kJ per mole of atoms
Fermi-level density of states = 1.52 states/eV per atom

---

Entry 2:
## Hf3ScMo (GGA-PBE)

Data for Hf3ScMo after structural relaxation.

Cell lengths 5.033, 5.033, 5.033 Å; angles 90.00, 90.00, 90.00 degrees
Space group Pm-3m (No. 221)
One atom of each set of equivalent atoms:
Hf  0.000  0.000  0.500
Sc  0.500  0.500  0.500
Mo  0.000  0.000  0.000

Energy of formation = 61.80 kJ per mole of atoms
Fermi-level density of states = 1.75 states/eV per atom

---

Entry 3:
## La5Nd2HoTm (GGA-PBE)

Data for La5Nd2HoTm after structural relaxation.

Cell lengths 8.561, 8.561, 17.698 Å; angles 90.00, 90.00, 90.00 degrees
Space group I4/mcm (No. 140)
One atom of each set of equivalent atoms:
La  0.000  0.000  0.000
La  0.223  0.277  0.143
Nd  0.125  0.375  0.500
Ho  0.000  0.000  0.250
Tm  0.000  0.500  0.250

Energy of formation = 25.75 kJ per mole of atoms
Fermi-level density of states = 1.64 states/eV per atom

---

Entry 4:
## Tl3ReCl7 (GGA-PBE)

Data for Tl3ReCl7 after structural relaxation.

Cell lengths 10.599, 9.743, 8.023 Å; angles 90.00, 117.99, 90.00 degrees
Space group Cm (No. 8)
One atom of each set of equivalent atoms:
Tl  0.000  0.000  0.000
Tl  0.005  0.272  0.511
Re  0.494  0.000  0.992
Cl  0.135  0.324  0.202
Cl  0.147  0.500  0.849
Cl  0.344  0.000  0.137
Cl  0.352  0.173  0.775
Cl  0.458  0.500  0.623

E_form (uncorrected) = -0.847 eV per atom

---

Entry 5:
## Dy4CoHg3 (GGA-PBE)

Data for Dy4CoHg3 after structural relaxation.

Cell lengths 3.503, 3.503, 15.610 Å; angles 90.00, 90.00, 90.00 degrees
Space group P4/mmm (No. 123)
One atom of each set of equivalent atoms:
Dy  0.000  0.000  0.103
Dy  0.000  0.000  0.368
Co  0.500  0.500  0.000
Hg  0.500  0.500  0.238
Hg  0.500  0.500  0.500

Energy of formation = -37.28 kJ per mole of atoms
Fermi-level density of states = 0.87 states/eV per atom

---

Entry 6:
## AsSe2I (GGA-PBE)

Data for AsSe2I after structural relaxation.

Cell lengths 4.3961, 4.3961, 26.8388 Å; angles 90.00, 90.00, 120.00 degrees
Space group R-3m (No. 166, hexagonal axes)
One atom of each set of equivalent atoms:
As  0.0000  0.0000  0.0000
Se  0.0000  0.0000  0.0821
I  0.0000  0.0000  0.5000

E_form (uncorrected) = 0.449 eV per atom
Fermi-level density of states = 0.00 states/eV per atom

---

Entry 7:
## Tl4SeS3 (GGA-PBE)

Data for Tl4SeS3 after structural relaxation.

Cell lengths 8.326, 9.562, 6.811 Å; angles 90.00, 90.00, 90.00 degrees
Space group Pmn2_1 (No. 31)
One atom of each set of equivalent atoms:
Tl  0.000  0.131  0.000
Tl  0.000  0.861  0.509
Tl  0.230  0.345  0.530
Se  0.000  0.863  0.108
S  0.000  0.117  0.617
S  0.246  0.283  0.092

E_form (uncorrected) = -0.213 eV per atom

---

Entry 8:
## RbPu2TaO8 (GGA-PBE)

Data for RbPu2TaO8 after structural relaxation.

Cell lengths 7.425, 7.003, 7.172 Å; angles 90.00, 94.65, 90.00 degrees
Space group C2/m (No. 12)
One atom of each set of equivalent atoms:
Rb  0.000  0.000  0.000
Pu  0.019  0.500  0.257
Ta  0.000  0.000  0.500
O  0.009  0.203  0.692
O  0.155  0.500  0.966
O  0.213  0.500  0.485

E_form (uncorrected) = -2.515 eV per atom
Fermi-level density of states = 0.72 states/eV per atom

---

Entry 9:
## Na2Mg3Cd4 (GGA-PBE)

Data for Na2Mg3Cd4 after structural relaxation.

Cell lengths 6.304, 18.031, 8.065 Å; angles 90.00, 90.00, 90.00 degrees
Space group Cmce (No. 64)
One atom of each set of equivalent atoms:
Na  0.000  0.093  0.111
Mg  0.000  0.000  0.500
Mg  0.250  0.246  0.750
Cd  0.000  0.166  0.488
Cd  0.250  0.078  0.750

Energy of formation = -4.51 kJ per mole of atoms
Fermi-level density of states = 0.38 states/eV per atom

---

Entry 10:
## CePaAg (GGA-PBE)

Data for CePaAg after structural relaxation.

Cell lengths 5.857, 8.616, 11.589 Å; angles 90.00, 90.00, 90.00 degrees
Space group Fmmm (No. 69)
One atom of each set of equivalent atoms:
Ce  0.000  0.000  0.134
Pa  0.250  0.250  0.250
Ag  0.000  0.166  0.500

Energy of formation = 39.71 kJ per mole of atoms
Fermi-level density of states = 2.15 states/eV per atom

---

Entry 11:
## Sc11Tl9Cu4 (GGA-PBE)

Data for Sc11Tl9Cu4 after structural relaxation.

Cell lengths 13.960, 20.901, 3.541 Å; angles 90.00, 90.00, 90.00 degrees
Space group Cmmm (No. 65)
One atom of each set of equivalent atoms:
Sc  0.000  0.000  0.000
Sc  0.000  0.160  0.000
Sc  0.000  0.371  0.000
Sc  0.192  0.500  0.000
Sc  0.247  0.169  0.000
Tl  0.000  0.500  0.500
Tl  0.111  0.260  0.500
Tl  0.143  0.075  0.500
Cu  0.149  0.401  0.500

Energy of formation = -25.88 kJ per mole of atoms
Fermi-level density of states = 0.72 states/eV per atom

---

Entry 12:
## La15Pr4Th (GGA-PBE)

Data for La15Pr4Th after structural relaxation.

Cell lengths 5.238, 5.238, 26.416 Å; angles 90.00, 90.00, 90.00 degrees
Space group P4/mmm (No. 123)
One atom of each set of equivalent atoms:
La  0.000  0.000  0.000
La  0.000  0.000  0.201
La  0.000  0.000  0.401
La  0.000  0.500  0.095
La  0.000  0.500  0.299
La  0.000  0.500  0.500
Pr  0.500  0.500  0.200
Pr  0.500  0.500  0.400
Th  0.500  0.500  0.000

Energy of formation = 1.51 kJ per mole of atoms
Fermi-level density of states = 1.83 states/eV per atom